No. 1
4
Lattice="-1.974 1.974 4.113 1.974 -1.974 4.113 1.974 1.974 -4.113" Properties=species:S:1:pos:R:3 comment="CrRhAu2 | Alexandria via LeMat-Bulk | PBE-GGA | relaxed" volume_a3_per_atom=16.03 e_tot_ev_per_atom=-5.762 delta_e_f_kj_per_mol_atoms=11.6 pbc="T T T"
Cr 0.000 0.000 0.000
Rh 0.000 0.000 4.113
Au 1.974 0.000 2.057
Au 0.000 1.974 2.057

No. 2
5
Lattice="5.448 0.000 0.000 0.000 5.448 0.000 0.000 0.000 5.448" Properties=species:S:1:pos:R:3 comment="LiCa3Ta | Alexandria via LeMat-Bulk | PBE-GGA | relaxed" volume_a3_per_atom=32.33 e_tot_ev_per_atom=-2.870 delta_e_f_kj_per_mol_atoms=104.6 pbc="T T T"
Li 0.000 0.000 0.000
Ca 0.000 0.000 2.724
Ca 0.000 2.724 0.000
Ca 2.724 0.000 0.000
Ta 2.724 2.724 2.724

No. 3
4
Lattice="3.067 -4.770 0.000 3.067 4.770 0.000 0.000 0.000 3.676" Properties=species:S:1:pos:R:3 comment="Te3Cl | Alexandria via LeMat-Bulk | PBE-GGA | relaxed" volume_a3_per_atom=26.89 e_tot_ev_per_atom=-2.591 raw_formation_energy_kj_per_mol_atoms=21.9 pbc="T T T"
Te 0.000 0.000 0.000
Te 1.533 2.385 1.838
Te 1.533 -2.385 1.838
Cl 3.067 0.000 0.000

No. 4
18
Lattice="2.490 -10.162 0.000 2.490 10.162 0.000 0.000 0.000 14.193" Properties=species:S:1:pos:R:3 comment="Ba5Bi2AsH | Alexandria via LeMat-Bulk | PBE-GGA | relaxed" volume_a3_per_atom=39.91 e_tot_ev_per_atom=-3.710 pbc="T T T"
Ba 2.490 9.973 7.096
Ba 2.490 7.316 2.949
Ba 2.490 6.013 7.874
Ba 2.490 6.010 12.205
Ba 2.490 0.809 3.554
Ba 2.490 -0.809 10.651
Ba 2.490 -6.013 0.778
Ba 2.490 -6.010 5.109
Ba 2.490 -7.316 10.045
Ba 2.490 -9.973 0.000
Bi 2.490 2.359 12.685
Bi 2.490 2.340 7.199
Bi 2.490 -2.340 0.102
Bi 2.490 -2.359 5.589
As 2.490 3.995 2.928
As 2.490 -3.995 10.025
H 2.490 9.976 9.800
H 2.490 -9.976 2.703

No. 5
12
Lattice="6.062 -1.770 0.000 6.062 1.770 0.000 -3.273 0.000 6.330" Properties=species:S:1:pos:R:3 comment="PaMn3C2 | Alexandria via LeMat-Bulk | PBE-GGA | relaxed" volume_a3_per_atom=11.32 e_tot_ev_per_atom=-9.388 delta_e_f_kj_per_mol_atoms=-14.1 pbc="T T T"
Pa 1.491 0.000 0.307
Pa 7.360 0.000 6.023
Mn -0.569 0.000 2.576
Mn 1.533 0.000 3.799
Mn 3.757 0.000 2.081
Mn 5.094 0.000 4.249
Mn 7.318 0.000 2.530
Mn 9.420 0.000 3.754
C -0.171 0.000 4.708
C 3.221 0.000 4.816
C 5.630 0.000 1.514
C 9.022 0.000 1.622

No. 6
5
Lattice="3.013 0.000 0.000 0.000 3.013 0.000 0.000 0.000 6.334" Properties=species:S:1:pos:R:3 comment="Ta2H2Ru | Alexandria via LeMat-Bulk | PBE-GGA | relaxed" volume_a3_per_atom=11.50 e_tot_ev_per_atom=-8.067 pbc="T T T"
Ta 0.000 0.000 1.442
Ta 0.000 0.000 4.892
H 0.000 1.506 0.000
H 1.506 0.000 0.000
Ru 1.506 1.506 3.167

No. 7
6
Lattice="3.641 -2.102 0.000 3.641 2.102 0.000 -2.400 0.000 11.671" Properties=species:S:1:pos:R:3 comment="ThReCl | Alexandria via LeMat-Bulk | PBE-GGA | relaxed" volume_a3_per_atom=29.78 e_tot_ev_per_atom=-8.206 raw_formation_energy_kj_per_mol_atoms=-93.3 pbc="T T T"
Th 0.000 0.000 2.081
Th 4.883 0.000 9.590
Re 0.028 0.000 11.357
Re 4.855 0.000 0.314
Cl 2.427 0.000 3.872
Cl 2.455 0.000 7.800

No. 8
12
Lattice="2.947 -2.858 0.000 2.947 2.858 0.000 -2.428 0.000 14.139" Properties=species:S:1:pos:R:3 comment="AcIn2Ge2Pd7 | Alexandria via LeMat-Bulk | PBE-GGA | relaxed" volume_a3_per_atom=19.85 e_tot_ev_per_atom=-5.006 delta_e_f_kj_per_mol_atoms=-39.4 pbc="T T T"
Ac 0.000 0.000 0.000
In -0.284 0.000 5.399
In 3.750 0.000 8.740
Ge 0.551 0.000 10.374
Ge 2.915 0.000 3.765
Pd 1.465 1.437 2.350
Pd 0.648 0.000 7.957
Pd 2.001 1.437 11.789
Pd 2.947 0.000 0.000
Pd 1.465 -1.437 2.350
Pd 2.818 0.000 6.182
Pd 2.001 -1.437 11.789